<1>
A relaxed structure of LaBi3As, computed with GGA-PBE. Values from VASP.

Output
* DOS(E_F): 6.0 states/eV/cell

Structure (Quantum ESPRESSO input):
```
&SYSTEM
  ibrav = 0, nat = 5, ntyp = 3
/
ATOMIC_SPECIES
Bi 208.98 Bi.upf
As 74.92 As.upf
La 138.91 La.upf
ATOMIC_POSITIONS crystal
Bi 0.500 0.000 0.000
Bi 0.000 0.000 0.500
Bi 0.000 0.500 0.000
As 0.500 0.500 0.500
La 0.000 0.000 0.000
CELL_PARAMETERS angstrom
-4.631 -1.972 -3.566
1.506 -5.844 1.277
-3.787 0.088 4.868
```

<2>
A relaxed structure of LaBi3As, computed with GGA-PBE. Values from VASP.

Output
* DOS(E_F): 5.0 states/eV/cell

Structure (Quantum ESPRESSO input):
```
&SYSTEM
  ibrav = 0, nat = 5, ntyp = 3
/
ATOMIC_SPECIES
La 138.91 La.upf
As 74.92 As.upf
Bi 208.98 Bi.upf
ATOMIC_POSITIONS crystal
La 0.500 0.500 0.500
As 0.000 0.000 0.000
Bi 0.500 0.000 0.000
Bi 0.000 0.000 0.500
Bi 0.000 0.500 0.000
CELL_PARAMETERS angstrom
-1.936 -3.075 4.216
2.779 -4.414 -1.944
4.417 1.429 3.071
```

Calculated relative energies: <1> 832; <2> 0, given in meV/atom

<1>
A relaxed structure of Li2BiAs2, computed with GGA-PBE. Values from VASP.

Output
* DOS(E_F): 4.4 states/eV/cell

Structure (Quantum ESPRESSO input):
```
&SYSTEM
  ibrav = 0, nat = 10, ntyp = 3
/
ATOMIC_SPECIES
As 74.92 As.upf
Bi 208.98 Bi.upf
Li 6.94 Li.upf
ATOMIC_POSITIONS crystal
As 0.327 0.827 0.000
As 0.673 0.173 0.000
As 0.173 0.327 0.000
As 0.827 0.673 0.000
Bi 0.500 0.500 0.000
Bi 0.000 0.000 0.000
Li 0.122 0.622 0.500
Li 0.378 0.122 0.500
Li 0.622 0.878 0.500
Li 0.878 0.378 0.500
CELL_PARAMETERS angstrom
-2.351 7.596 -2.099
-2.842 -2.860 -7.168
-2.703 -0.487 1.266
```

<2>
A relaxed structure of Li2BiAs2, computed with GGA-PBE. Values from VASP.

Output
* DOS(E_F): 3.7 states/eV/cell

Structure (Quantum ESPRESSO input):
```
&SYSTEM
  ibrav = 0, nat = 5, ntyp = 3
/
ATOMIC_SPECIES
As 74.92 As.upf
Li 6.94 Li.upf
Bi 208.98 Bi.upf
ATOMIC_POSITIONS crystal
As 0.615 0.615 0.769
As 0.385 0.385 0.231
Li 0.750 0.250 0.500
Li 0.250 0.750 0.500
Bi 0.000 0.000 0.000
CELL_PARAMETERS angstrom
4.397 0.000 0.000
0.000 4.397 0.000
2.198 2.198 5.265
```

Calculated relative energies: <1> 0; <2> 80, given in meV/atom

<1>
A relaxed structure of Li3BiAs, computed with GGA-PBE. Values from VASP.

Output
* DOS(E_F): 3.8 states/eV/cell

Structure (Quantum ESPRESSO input):
```
&SYSTEM
  ibrav = 0, nat = 5, ntyp = 3
/
ATOMIC_SPECIES
Li 6.94 Li.upf
As 74.92 As.upf
Bi 208.98 Bi.upf
ATOMIC_POSITIONS crystal
Li 0.000 0.000 0.500
Li 0.500 0.000 0.000
Li 0.000 0.500 0.000
As 0.000 0.000 0.000
Bi 0.500 0.500 0.500
CELL_PARAMETERS angstrom
-2.559 1.793 -3.629
-3.685 -2.807 1.212
-1.673 3.440 2.880
```

<2>
A relaxed structure of Li3BiAs, computed with GGA-PBE. Values from VASP.

Output
* DOS(E_F): 3.9 states/eV/cell

Structure (Quantum ESPRESSO input):
```
&SYSTEM
  ibrav = 0, nat = 5, ntyp = 3
/
ATOMIC_SPECIES
Li 6.94 Li.upf
Bi 208.98 Bi.upf
As 74.92 As.upf
ATOMIC_POSITIONS crystal
Li 0.000 0.500 0.000
Li 0.000 0.000 0.500
Li 0.500 0.000 0.000
Bi 0.000 0.000 0.000
As 0.500 0.500 0.500
CELL_PARAMETERS angstrom
-0.982 0.878 -4.954
-0.211 -5.050 -0.853
-5.027 0.040 1.004
```

<3>
A relaxed structure of Li3BiAs, computed with GGA-PBE. Values from VASP.

Output
* DOS(E_F): 4.5 states/eV/cell

Structure (Quantum ESPRESSO input):
```
&SYSTEM
  ibrav = 0, nat = 10, ntyp = 3
/
ATOMIC_SPECIES
Li 6.94 Li.upf
Bi 208.98 Bi.upf
As 74.92 As.upf
ATOMIC_POSITIONS crystal
Li 0.573 0.944 0.339
Li 0.839 0.444 0.073
Li 0.073 0.839 0.444
Li 0.339 0.573 0.944
Li 0.444 0.073 0.839
Li 0.944 0.339 0.573
Bi 0.448 0.448 0.448
Bi 0.948 0.948 0.948
As 0.214 0.214 0.214
As 0.714 0.714 0.714
CELL_PARAMETERS angstrom
5.986 -0.598 -0.458
1.554 5.812 -0.458
1.554 1.075 5.730
```

Calculated relative energies: <1> 188; <2> 632; <3> 0, given in meV/atom

<1>
A relaxed structure of LiBi3As, computed with GGA-PBE. Values from VASP.

Output
* DOS(E_F): 3.7 states/eV/cell

Structure (Quantum ESPRESSO input):
```
&SYSTEM
  ibrav = 0, nat = 5, ntyp = 3
/
ATOMIC_SPECIES
Bi 208.98 Bi.upf
As 74.92 As.upf
Li 6.94 Li.upf
ATOMIC_POSITIONS crystal
Bi 0.000 0.500 0.000
Bi 0.000 0.000 0.500
Bi 0.500 0.000 0.000
As 0.500 0.500 0.500
Li 0.000 0.000 0.000
CELL_PARAMETERS angstrom
-2.083 -4.429 -1.572
4.433 -1.279 -2.267
1.562 -2.274 4.337
```

<2>
A relaxed structure of LiBi3As, computed with GGA-PBE. Values from VASP.

Output
* DOS(E_F): 5.2 states/eV/cell

Structure (Quantum ESPRESSO input):
```
&SYSTEM
  ibrav = 0, nat = 5, ntyp = 3
/
ATOMIC_SPECIES
Li 6.94 Li.upf
As 74.92 As.upf
Bi 208.98 Bi.upf
ATOMIC_POSITIONS crystal
Li 0.500 0.500 0.500
As 0.000 0.000 0.000
Bi 0.500 0.000 0.000
Bi 0.000 0.000 0.500
Bi 0.000 0.500 0.000
CELL_PARAMETERS angstrom
5.628 0.000 0.000
0.000 5.628 0.000
0.000 0.000 5.628
```

Calculated relative energies: <1> 14; <2> 0, given in meV/atom

<1>
A relaxed structure of Mg2BiAs2, computed with GGA-PBE. Values from VASP.

Output
* DOS(E_F): 4.0 states/eV/cell

Structure (Quantum ESPRESSO input):
```
&SYSTEM
  ibrav = 0, nat = 5, ntyp = 3
/
ATOMIC_SPECIES
Mg 24.30 Mg.upf
As 74.92 As.upf
Bi 208.98 Bi.upf
ATOMIC_POSITIONS crystal
Mg 0.250 0.750 0.500
Mg 0.750 0.250 0.500
As 0.626 0.626 0.748
As 0.374 0.374 0.252
Bi 0.000 0.000 0.000
CELL_PARAMETERS angstrom
-0.432 -4.030 -2.676
4.322 -1.528 1.602
-0.268 -5.061 3.257
```

<2>
A relaxed structure of Mg2BiAs2, computed with GGA-PBE. Values from VASP.

Output
* DOS(E_F): 3.2 states/eV/cell

Structure (Quantum ESPRESSO input):
```
&SYSTEM
  ibrav = 0, nat = 10, ntyp = 3
/
ATOMIC_SPECIES
Mg 24.30 Mg.upf
Bi 208.98 Bi.upf
As 74.92 As.upf
ATOMIC_POSITIONS crystal
Mg 0.639 0.861 0.500
Mg 0.861 0.361 0.500
Mg 0.361 0.139 0.500
Mg 0.139 0.639 0.500
Bi 0.000 0.000 0.000
Bi 0.500 0.500 0.000
As 0.163 0.337 0.000
As 0.663 0.163 0.000
As 0.837 0.663 0.000
As 0.337 0.837 0.000
CELL_PARAMETERS angstrom
-6.640 0.630 4.354
3.323 -4.447 5.712
1.302 2.971 1.556
```

Calculated relative energies: <1> 52; <2> 0, given in meV/atom

<1>
A relaxed structure of MgBi3As, computed with GGA-PBE. Values from VASP.

Output
* DOS(E_F): 5.0 states/eV/cell

Structure (Quantum ESPRESSO input):
```
&SYSTEM
  ibrav = 0, nat = 5, ntyp = 3
/
ATOMIC_SPECIES
Mg 24.30 Mg.upf
As 74.92 As.upf
Bi 208.98 Bi.upf
ATOMIC_POSITIONS crystal
Mg 0.000 0.000 0.000
As 0.500 0.500 0.500
Bi 0.000 0.500 0.000
Bi 0.500 0.000 0.000
Bi 0.000 0.000 0.500
CELL_PARAMETERS angstrom
5.457 0.000 0.000
0.000 5.457 0.000
0.000 0.000 5.457
```

<2>
A relaxed structure of MgBi3As, computed with GGA-PBE. Values from VASP.

Output
* DOS(E_F): 6.2 states/eV/cell

Structure (Quantum ESPRESSO input):
```
&SYSTEM
  ibrav = 0, nat = 5, ntyp = 3
/
ATOMIC_SPECIES
Bi 208.98 Bi.upf
As 74.92 As.upf
Mg 24.30 Mg.upf
ATOMIC_POSITIONS crystal
Bi 0.000 0.500 0.000
Bi 0.000 0.000 0.500
Bi 0.500 0.000 0.000
As 0.000 0.000 0.000
Mg 0.500 0.500 0.500
CELL_PARAMETERS angstrom
-4.556 -0.150 3.235
2.345 -4.005 3.116
2.235 3.897 3.327
```

Calculated relative energies: <1> 196; <2> 0, given in meV/atom

<1>
A relaxed structure of MgBi2As2, computed with GGA-PBE. Values from VASP.

Output
* DOS(E_F): 1.8 states/eV/cell

Structure (Quantum ESPRESSO input):
```
&SYSTEM
  ibrav = 0, nat = 5, ntyp = 3
/
ATOMIC_SPECIES
As 74.92 As.upf
Mg 24.30 Mg.upf
Bi 208.98 Bi.upf
ATOMIC_POSITIONS crystal
As 0.674 0.674 0.652
As 0.326 0.326 0.348
Mg 0.000 0.000 0.000
Bi 0.750 0.250 0.500
Bi 0.250 0.750 0.500
CELL_PARAMETERS angstrom
5.904 0.000 0.000
0.000 5.904 0.000
2.952 2.952 4.036
```

<2>
A relaxed structure of MgBi2As2, computed with GGA-PBE. Values from VASP.

Output
* DOS(E_F): 6.0 states/eV/cell

Structure (Quantum ESPRESSO input):
```
&SYSTEM
  ibrav = 0, nat = 10, ntyp = 3
/
ATOMIC_SPECIES
As 74.92 As.upf
Bi 208.98 Bi.upf
Mg 24.30 Mg.upf
ATOMIC_POSITIONS crystal
As 0.832 0.668 0.000
As 0.168 0.332 0.000
As 0.668 0.168 0.000
As 0.332 0.832 0.000
Bi 0.157 0.657 0.500
Bi 0.843 0.343 0.500
Bi 0.657 0.843 0.500
Bi 0.343 0.157 0.500
Mg 0.000 0.000 0.000
Mg 0.500 0.500 0.000
CELL_PARAMETERS angstrom
7.882 0.000 0.000
0.000 7.882 0.000
0.000 0.000 4.197
```

Calculated relative energies: <1> 16; <2> 0, given in meV/atom

<1>
A relaxed structure of BiMo2As, computed with GGA-PBE. Values from VASP.

Output
* DOS(E_F): 5.9 states/eV/cell

Structure (Quantum ESPRESSO input):
```
&SYSTEM
  ibrav = 0, nat = 8, ntyp = 3
/
ATOMIC_SPECIES
Bi 208.98 Bi.upf
As 74.92 As.upf
Mo 95.94 Mo.upf
ATOMIC_POSITIONS crystal
Bi 0.750 0.250 0.500
Bi 0.000 0.000 0.000
As 0.500 0.500 0.000
As 0.250 0.750 0.500
Mo 0.214 0.625 0.250
Mo 0.375 0.464 0.750
Mo 0.536 0.125 0.250
Mo 0.875 0.786 0.750
CELL_PARAMETERS angstrom
4.298 0.000 0.000
0.000 4.298 0.000
2.149 2.149 9.163
```

<2>
A relaxed structure of BiMo2As, computed with GGA-PBE. Values from VASP.

Output
* DOS(E_F): 3.6 states/eV/cell

Structure (Quantum ESPRESSO input):
```
&SYSTEM
  ibrav = 0, nat = 4, ntyp = 3
/
ATOMIC_SPECIES
As 74.92 As.upf
Mo 95.94 Mo.upf
Bi 208.98 Bi.upf
ATOMIC_POSITIONS crystal
As 0.000 0.000 0.000
Mo 0.750 0.750 0.750
Mo 0.250 0.250 0.250
Bi 0.500 0.500 0.500
CELL_PARAMETERS angstrom
0.000 3.287 3.287
3.287 0.000 3.287
3.287 3.287 0.000
```

Calculated relative energies: <1> 154; <2> 0, given in meV/atom

<1>
A relaxed structure of Bi3MoAs, computed with GGA-PBE. Values from VASP.

Output
* DOS(E_F): 3.6 states/eV/cell

Structure (Quantum ESPRESSO input):
```
&SYSTEM
  ibrav = 0, nat = 5, ntyp = 3
/
ATOMIC_SPECIES
Bi 208.98 Bi.upf
Mo 95.94 Mo.upf
As 74.92 As.upf
ATOMIC_POSITIONS crystal
Bi 0.000 0.500 0.000
Bi 0.000 0.000 0.500
Bi 0.500 0.000 0.000
Mo 0.500 0.500 0.500
As 0.000 0.000 0.000
CELL_PARAMETERS angstrom
-1.771 -0.096 -5.199
-3.944 -3.555 1.409
-3.389 4.187 1.078
```

<2>
A relaxed structure of Bi3MoAs, computed with GGA-PBE. Values from VASP.

Output
* DOS(E_F): 2.6 states/eV/cell

Structure (Quantum ESPRESSO input):
```
&SYSTEM
  ibrav = 0, nat = 5, ntyp = 3
/
ATOMIC_SPECIES
Bi 208.98 Bi.upf
As 74.92 As.upf
Mo 95.94 Mo.upf
ATOMIC_POSITIONS crystal
Bi 0.000 0.500 0.000
Bi 0.000 0.000 0.500
Bi 0.500 0.000 0.000
As 0.500 0.500 0.500
Mo 0.000 0.000 0.000
CELL_PARAMETERS angstrom
-3.457 -4.017 0.593
1.562 -2.034 -4.676
3.748 -2.857 2.496
```

Calculated relative energies: <1> 523; <2> 0, given in meV/atom

<1>
A relaxed structure of BiAs2N, computed with GGA-PBE. Values from VASP.

Output
* DOS(E_F): 2.9 states/eV/cell

Structure (Quantum ESPRESSO input):
```
&SYSTEM
  ibrav = 0, nat = 4, ntyp = 3
/
ATOMIC_SPECIES
N 14.01 N.upf
As 74.92 As.upf
Bi 208.98 Bi.upf
ATOMIC_POSITIONS crystal
N 0.000 0.000 0.000
As 0.250 0.250 0.250
As 0.750 0.750 0.750
Bi 0.500 0.500 0.500
CELL_PARAMETERS angstrom
3.704 2.552 1.590
-0.612 3.145 3.535
1.825 -0.881 4.319
```

<2>
A relaxed structure of BiAs2N, computed with GGA-PBE. Values from VASP.

Output
* DOS(E_F): 3.0 states/eV/cell

Structure (Quantum ESPRESSO input):
```
&SYSTEM
  ibrav = 0, nat = 8, ntyp = 3
/
ATOMIC_SPECIES
Bi 208.98 Bi.upf
As 74.92 As.upf
N 14.01 N.upf
ATOMIC_POSITIONS crystal
Bi 0.750 0.250 0.500
Bi 0.000 0.000 0.000
As 0.875 0.748 0.750
As 0.252 0.625 0.250
As 0.375 0.502 0.750
As 0.498 0.125 0.250
N 0.500 0.500 0.000
N 0.250 0.750 0.500
CELL_PARAMETERS angstrom
-3.721 2.398 -3.428
-3.632 -4.128 1.055
-5.844 2.188 3.302
```

Calculated relative energies: <1> 732; <2> 0, given in meV/atom

<1>
A relaxed structure of Bi2AsN, computed with GGA-PBE. Values from VASP.

Output
* DOS(E_F): 3.2 states/eV/cell

Structure (Quantum ESPRESSO input):
```
&SYSTEM
  ibrav = 0, nat = 8, ntyp = 3
/
ATOMIC_SPECIES
N 14.01 N.upf
Bi 208.98 Bi.upf
As 74.92 As.upf
ATOMIC_POSITIONS crystal
N 0.500 0.500 0.000
N 0.250 0.750 0.500
Bi 0.875 0.800 0.750
Bi 0.550 0.125 0.250
Bi 0.375 0.450 0.750
Bi 0.200 0.625 0.250
As 0.750 0.250 0.500
As 0.000 0.000 0.000
CELL_PARAMETERS angstrom
6.032 0.000 0.000
0.000 6.032 0.000
3.016 3.016 6.145
```

<2>
A relaxed structure of Bi2AsN, computed with GGA-PBE. Values from VASP.

Output
* DOS(E_F): 3.0 states/eV/cell

Structure (Quantum ESPRESSO input):
```
&SYSTEM
  ibrav = 0, nat = 4, ntyp = 3
/
ATOMIC_SPECIES
As 74.92 As.upf
Bi 208.98 Bi.upf
N 14.01 N.upf
ATOMIC_POSITIONS crystal
As 0.500 0.500 0.500
Bi 0.750 0.750 0.750
Bi 0.250 0.250 0.250
N 0.000 0.000 0.000
CELL_PARAMETERS angstrom
0.000 3.477 3.477
3.477 0.000 3.477
3.477 3.477 0.000
```

Calculated relative energies: <1> 0; <2> 459, given in meV/atom

<1>
A relaxed structure of BiAs3N, computed with GGA-PBE. Values from VASP.

Output
* DOS(E_F): 2.0 states/eV/cell

Structure (Quantum ESPRESSO input):
```
&SYSTEM
  ibrav = 0, nat = 5, ntyp = 3
/
ATOMIC_SPECIES
As 74.92 As.upf
N 14.01 N.upf
Bi 208.98 Bi.upf
ATOMIC_POSITIONS crystal
As 0.000 0.000 0.500
As 0.500 0.000 0.000
As 0.000 0.500 0.000
N 0.000 0.000 0.000
Bi 0.500 0.500 0.500
CELL_PARAMETERS angstrom
-1.131 -3.302 2.889
4.215 0.011 1.662
-1.218 3.102 3.069
```

<2>
A relaxed structure of BiAs3N, computed with GGA-PBE. Values from VASP.

Output
* DOS(E_F): 11.0 states/eV/cell

Structure (Quantum ESPRESSO input):
```
&SYSTEM
  ibrav = 0, nat = 5, ntyp = 3
/
ATOMIC_SPECIES
As 74.92 As.upf
N 14.01 N.upf
Bi 208.98 Bi.upf
ATOMIC_POSITIONS crystal
As 0.500 0.000 0.000
As 0.000 0.500 0.000
As 0.000 0.000 0.500
N 0.500 0.500 0.500
Bi 0.000 0.000 0.000
CELL_PARAMETERS angstrom
-4.103 2.571 -2.483
0.181 -3.626 -4.053
-3.570 -3.138 2.648
```

Calculated relative energies: <1> 0; <2> 1750, given in meV/atom